The following is a PBE-GGA calculation of a relaxed Ca3CdP crystal, from Alexandria via LeMat-Bulk.

Structure (CIF):
```
data_Ca3CdP
_space_group_name_H-M_alt 'C 1 2/m 1'
_space_group_IT_number 12
_space_group_name_Hall '-C 2y'
_cell_length_a 14.803
_cell_length_b 4.033
_cell_length_c 9.534
_cell_angle_alpha 90.00
_cell_angle_beta 92.84
_cell_angle_gamma 90.00
loop_
_atom_site_label
_atom_site_fract_x
_atom_site_fract_y
_atom_site_fract_z
_atom_site_occupancy
Ca1 0.047 0.000 0.144 1
Ca2 0.092 0.500 0.621 1
Ca3 0.238 0.000 0.842 1
Cd1 0.187 0.000 0.414 1
P1 0.112 0.500 0.930 1
```

Calculated values
E_form = -0.590 eV per atom
M_tot = 0.00 μB per atom
Energy above the lowest structure with this stoichiometry = 68 meV per atom
E_tot = -3.0557 eV/atom



The following is a PBE-GGA calculation of a relaxed Ca2CdP crystal, from Alexandria via LeMat-Bulk.

Structure (CIF):
```
data_Ca2CdP
_space_group_name_H-M_alt 'P 4 m m'
_space_group_IT_number 99
_space_group_name_Hall 'P 4 -2'
_cell_length_a 4.345
_cell_length_b 4.345
_cell_length_c 5.996
_cell_angle_alpha 90.00
_cell_angle_beta 90.00
_cell_angle_gamma 90.00
loop_
_atom_site_label
_atom_site_fract_x
_atom_site_fract_y
_atom_site_fract_z
_atom_site_occupancy
Ca1 0.000 0.000 0.000 1
Ca2 0.500 0.500 0.492 1
Cd1 0.000 0.000 0.501 1
P1 0.500 0.500 0.993 1
```

Calculated values
E_form = -0.413 eV per atom
M_tot = 0.00 μB per atom
Energy above the lowest structure with this stoichiometry = 279 meV per atom
E_tot = -2.9951 eV/atom



Q: energy above the lowest structure with this stoichiometry of number 1 (Ca3CdP)?
A: 68 meV per atom



Q: Which of these has the lowest energy above the lowest structure with this stoichiometry?
A: Ca3CdP